Computed, not measured: an optimized crystal structure of CsMoN2F at the PBE+U level of DFT.

Properties
E (eV/atom): -5.5710
DOS at the Fermi energy (states/eV/atom): 0.56
Space-group type: P4/mmm, No. 123

Unit cell a=4.027 b=4.027 c=4.781 alpha=90.00 beta=90.00 gamma=90.00
Fractional positions:
Cs: 0.000 0.000 0.000
Mo: 0.500 0.500 0.500
N: 0.000 0.500 0.500
N: 0.500 0.000 0.500
F: 0.500 0.500 0.000